1.
A plane-wave DFT calculation with PBE was carried out for a geometry-optimized RePOsO structure.

Results
- Space-group type: P4/nmm, No. 129

Unit cell a=3.856 b=3.856 c=6.459 alpha=90.00 beta=90.00 gamma=90.00
Atoms (fractional coordinates):
Re 0.250 0.250 0.175
Re 0.750 0.750 0.825
P 0.250 0.250 0.720
P 0.750 0.750 0.280
Os 0.250 0.750 0.500
Os 0.750 0.250 0.500
O 0.250 0.750 0.000
O 0.750 0.250 0.000

=====

2.
A plane-wave DFT calculation with PBE was carried out for a geometry-optimized NaNdZnTe3 structure.

Results
- Space-group type: Pnma, No. 62

Unit cell a=11.910 b=4.382 c=14.707 alpha=90.00 beta=90.00 gamma=90.00
Atoms (fractional coordinates):
Na 0.228 0.250 0.013
Na 0.272 0.750 0.513
Na 0.728 0.250 0.487
Na 0.772 0.750 0.987
Nd 0.011 0.750 0.744
Nd 0.489 0.250 0.244
Nd 0.511 0.750 0.756
Nd 0.989 0.250 0.256
Zn 0.241 0.750 0.219
Zn 0.259 0.250 0.719
Zn 0.741 0.750 0.281
Zn 0.759 0.250 0.781
Te 0.060 0.750 0.112
Te 0.087 0.250 0.603
Te 0.242 0.250 0.333
Te 0.258 0.750 0.833
Te 0.413 0.750 0.103
Te 0.440 0.250 0.612
Te 0.560 0.750 0.388
Te 0.587 0.250 0.897
Te 0.742 0.250 0.167
Te 0.758 0.750 0.667
Te 0.913 0.750 0.397
Te 0.940 0.250 0.888

=====

| no. | mass density (Mg/m³) | E (eV per atom) |
| --- | --- | --- |
| 1 | 14.6 | -8.522 |
| 2 | 5.3 | -3.789 |